i | CdIrBr | PBEsol | relaxed

N(E_F): 2.57 states/eV/f.u.
Spin magnetization: 0.00 Bohr magnetons per cell

abc: 3.1608 4.4672 4.4672
angles: 120.00 90.00 90.00
Sites, in units of the cell vectors:
Cd 0.0000 0.3333 0.6667
Br 0.5000 0.0000 0.0000
Ir 0.5000 0.6667 0.3333

=====

ii | CdIrBr | PBEsol | relaxed

N(E_F): 2.76 states/eV/f.u.
Spin magnetization: 0.00 Bohr magnetons per cell

abc: 4.4550 4.4550 4.4550
angles: 60.00 60.00 60.00
Sites, in units of the cell vectors:
Ir 0.2500 0.2500 0.2500
Br 0.0000 0.0000 0.0000
Cd 0.5000 0.5000 0.5000

=====

Which of them is the most stable, and which is the least stable? i and ii, in that order.

=====

i | CdIr2Br | PBEsol | relaxed

N(E_F): 4.26 states/eV/f.u.
Spin magnetization: 0.00 Bohr magnetons per cell

abc: 2.9022 4.7757 5.6635
angles: 114.94 104.85 90.00
Sites, in units of the cell vectors:
Ir 0.0245 0.0245 0.0489
Ir 0.7480 0.2480 0.4960
Cd 0.2583 0.7583 0.5167
Br 0.4692 0.4692 0.9384

=====

ii | CdIr2Br | PBEsol | relaxed

N(E_F): 2.50 states/eV/f.u.
Spin magnetization: 0.00 Bohr magnetons per cell

abc: 2.9458 2.9458 7.5081
angles: 90.00 90.00 90.00
Sites, in units of the cell vectors:
Cd 0.5000 0.5000 0.5000
Ir 0.0000 0.0000 0.7646
Ir 0.0000 0.0000 0.2354
Br 0.5000 0.5000 0.0000

=====

Which of them is the most stable, and which is the least stable? i and ii, in that order.

=====

i | La2CdBr | PBEsol | relaxed

N(E_F): 2.98 states/eV/f.u.
Spin magnetization: 0.00 Bohr magnetons per cell

abc: 4.0311 4.7364 6.2564
angles: 90.00 90.00 90.00
Sites, in units of the cell vectors:
La 0.0000 0.0000 0.5000
La 0.5000 0.5000 0.0000
Cd 0.5000 0.5000 0.5000
Br 0.0000 0.0000 0.0000

=====

ii | La2CdBr | PBEsol | relaxed

N(E_F): 2.78 states/eV/f.u.
Spin magnetization: 0.00 Bohr magnetons per cell

abc: 3.5755 5.3027 6.2457
angles: 90.00 106.63 90.00
Sites, in units of the cell vectors:
Br 0.5081 0.0000 0.0162
La 0.0011 0.5000 0.0022
La 0.2517 0.0000 0.5034
Cd 0.7391 0.5000 0.4782

=====

Which of them is the most stable, and which is the least stable? i and ii, in that order.

=====

i | La2CdBr | PBEsol | relaxed

N(E_F): 5.33 states/eV/f.u.
Spin magnetization: 0.00 Bohr magnetons per cell

abc: 5.3639 5.3639 5.3639
angles: 60.00 60.00 60.00
Sites, in units of the cell vectors:
La 0.0000 0.0000 0.0000
La 0.7500 0.7500 0.7500
Br 0.5000 0.5000 0.5000
Cd 0.2500 0.2500 0.2500

=====

ii | La2CdBr | PBEsol | relaxed

N(E_F): 4.95 states/eV/f.u.
Spin magnetization: 0.00 Bohr magnetons per cell

abc: 4.9339 5.4864 5.4864
angles: 62.81 63.28 63.28
Sites, in units of the cell vectors:
Cd 0.0000 0.5000 0.5000
Br 0.5000 0.0000 0.0000
La 0.2381 0.7619 0.7619
La 0.7619 0.2381 0.2381

=====

Which of them is the most stable, and which is the least stable? ii and i, in that order.

=====

i | LaCdBr2 | PBEsol | relaxed

N(E_F): 2.76 states/eV/f.u.
Spin magnetization: 0.00 Bohr magnetons per cell

abc: 3.9527 5.7481 6.2941
angles: 117.17 108.30 90.00
Sites, in units of the cell vectors:
Br 0.7101 0.7101 0.4203
Br 0.2899 0.2899 0.5797
La 0.0000 0.5000 0.0000
Cd 0.5000 0.0000 0.0000

=====

ii | LaCdBr2 | PBEsol | relaxed

N(E_F): 1.03 states/eV/f.u.
Spin magnetization: 0.00 Bohr magnetons per cell

abc: 3.6429 3.6429 8.9548
angles: 90.00 90.00 90.00
Sites, in units of the cell vectors:
Cd 0.5000 0.5000 0.0000
Br 0.0000 0.0000 0.6916
Br 0.0000 0.0000 0.3084
La 0.5000 0.5000 0.5000

=====

Which of them is the most stable, and which is the least stable? ii and i, in that order.

=====

i | MgCdBr2 | PBEsol | relaxed

N(E_F): 0.16 states/eV/f.u.
Spin magnetization: 0.00 Bohr magnetons per cell

abc: 3.7363 3.7191 10.2185
angles: 90.00 90.00 120.15
Sites, in units of the cell vectors:
Mg 0.5000 0.0000 0.0000
Cd 0.5000 0.0000 0.5000
Br 0.0000 0.0000 0.1709
Br 0.0000 0.0000 0.8291

=====

ii | MgCdBr2 | PBEsol | relaxed

Spin magnetization: 0.00 Bohr magnetons per cell

abc: 3.5033 6.0190 6.0190
angles: 62.23 73.08 73.08
Sites, in units of the cell vectors:
Mg 0.2554 0.2446 0.2446
Cd 0.5115 0.4885 0.4885
Br 0.7813 0.7187 0.7187
Br 0.9519 0.0481 0.0481

=====

Which of them is the most stable, and which is the least stable? i and ii, in that order.

=====

i | Mg2CdBr | PBEsol | relaxed

N(E_F): 2.25 states/eV/f.u.
Spin magnetization: 0.00 Bohr magnetons per cell

abc: 3.3573 4.8428 5.8862
angles: 90.00 90.00 90.00
Sites, in units of the cell vectors:
Mg 0.0000 0.0000 0.8752
Mg 0.5000 0.5000 0.3747
Br 0.0000 0.0000 0.3753
Cd 0.5000 0.5000 0.8748

=====

ii | Mg2CdBr | PBEsol | relaxed

N(E_F): 1.78 states/eV/f.u.
Spin magnetization: 0.00 Bohr magnetons per cell

abc: 3.2628 5.4035 5.4035
angles: 90.00 90.00 90.00
Sites, in units of the cell vectors:
Br 0.2834 0.5000 0.5000
Cd 0.7395 0.0000 0.0000
Mg 0.2292 0.0000 0.5000
Mg 0.2292 0.5000 0.0000

=====

iii | Mg2CdBr | PBEsol | relaxed

N(E_F): 1.38 states/eV/f.u.
Spin magnetization: 0.00 Bohr magnetons per cell

abc: 3.2112 5.3871 5.3871
angles: 85.55 95.25 95.25
Sites, in units of the cell vectors:
Br 0.5000 0.5000 0.5000
Mg 0.0000 0.5000 0.0000
Mg 0.0000 0.0000 0.5000
Cd 0.5000 0.0000 0.0000

=====

iv | Mg2CdBr | PBEsol | relaxed

N(E_F): 1.79 states/eV/f.u.
Spin magnetization: 0.00 Bohr magnetons per cell

abc: 4.6082 4.6082 5.5245
angles: 114.65 114.65 90.00
Sites, in units of the cell vectors:
Cd 0.0000 0.0000 0.0000
Mg 0.7500 0.2500 0.5000
Mg 0.2500 0.7500 0.5000
Br 0.5000 0.5000 0.0000

=====

Which of them is the most stable, and which is the least stable? ii and iv, in that order.

=====

i | MnCdSeBr2 | PBEsol | relaxed

N(E_F): 2.13 states/eV/f.u.
Spin magnetization: 4.11 Bohr magnetons per cell

abc: 5.0881 4.9060 4.9060
angles: 90.00 90.00 90.00
Site moments in Bohr magnetons follow the coordinates.
Sites, in units of the cell vectors:
Se 0.5000 0.0000 0.0000  0.02
Br 0.0000 0.5000 0.0000  0.05
Br 0.0000 0.0000 0.5000  0.05
Mn 0.0000 0.0000 0.0000  3.79
Cd 0.5000 0.5000 0.5000  -0.04

=====

ii | MnCdSeBr2 | PBEsol | relaxed

N(E_F): 1.22 states/eV/f.u.
Spin magnetization: 5.14 Bohr magnetons per cell

abc: 5.2043 5.2043 5.3442
angles: 90.00 90.00 90.00
Site moments in Bohr magnetons follow the coordinates.
Sites, in units of the cell vectors:
Se 0.0000 0.0000 0.5000  -0.06
Mn 0.5000 0.5000 0.5000  4.64
Cd 0.0000 0.0000 0.0000  0.00
Br 0.5000 0.0000 0.0000  0.03
Br 0.0000 0.5000 0.0000  0.03

=====

Which of them is the most stable, and which is the least stable? i and ii, in that order.

=====

i | CdMo2Br | PBEsol | relaxed

N(E_F): 2.66 states/eV/f.u.
Spin magnetization: 0.00 Bohr magnetons per cell

abc: 3.1610 3.1610 7.8072
angles: 90.00 90.00 90.00
Sites, in units of the cell vectors:
Mo 0.0000 0.0000 0.0433
Mo 0.5000 0.5000 0.2102
Br 0.0000 0.0000 0.4477
Cd 0.5000 0.5000 0.7988

=====

ii | CdMo2Br | PBEsol | relaxed

N(E_F): 3.41 states/eV/f.u.
Spin magnetization: 0.00 Bohr magnetons per cell

abc: 3.8891 3.8891 5.4479
angles: 110.91 110.91 90.00
Sites, in units of the cell vectors:
Br 0.5000 0.5000 0.0000
Cd 0.0000 0.0000 0.0000
Mo 0.7500 0.2500 0.5000
Mo 0.2500 0.7500 0.5000

=====

iii | CdMo2Br | PBEsol | relaxed

N(E_F): 2.52 states/eV/f.u.
Spin magnetization: 0.00 Bohr magnetons per cell

abc: 4.6152 4.6152 4.6152
angles: 60.00 60.00 60.00
Sites, in units of the cell vectors:
Cd 0.2500 0.2500 0.2500
Mo 0.0000 0.0000 0.0000
Mo 0.7500 0.7500 0.7500
Br 0.5000 0.5000 0.5000

=====

Which of them is the most stable, and which is the least stable? i and ii, in that order.

=====

i | CdMo2Br | PBEsol | relaxed

N(E_F): 5.14 states/eV/f.u.
Spin magnetization: 0.00 Bohr magnetons per cell

abc: 4.5366 4.5366 4.5366
angles: 60.00 60.00 60.00
Sites, in units of the cell vectors:
Mo 0.2500 0.2500 0.2500
Mo 0.7500 0.7500 0.7500
Br 0.0000 0.0000 0.0000
Cd 0.5000 0.5000 0.5000

=====

ii | CdMo2Br | PBEsol | relaxed

N(E_F): 4.97 states/eV/f.u.
Spin magnetization: 0.00 Bohr magnetons per cell

abc: 2.9586 4.7525 4.7525
angles: 90.00 90.00 90.00
Sites, in units of the cell vectors:
Br 0.5000 0.5000 0.5000
Mo 0.0000 0.0000 0.5000
Mo 0.0000 0.5000 0.0000
Cd 0.5000 0.0000 0.0000

=====

Which of them is the most stable, and which is the least stable? ii and i, in that order.

=====

i | CdMoBr | PBEsol | relaxed

N(E_F): 2.39 states/eV/f.u.
Spin magnetization: 0.00 Bohr magnetons per cell

abc: 3.0802 3.0802 6.6068
angles: 103.48 103.48 90.00
Sites, in units of the cell vectors:
Br 0.9606 0.9606 0.9212
Cd 0.6918 0.6918 0.3835
Mo 0.3476 0.3476 0.6953

=====

ii | CdMoBr | PBEsol | relaxed

N(E_F): 1.82 states/eV/f.u.
Spin magnetization: 4.53 Bohr magnetons per cell

abc: 4.8520 4.8520 4.8520
angles: 60.00 60.00 60.00
Site moments in Bohr magnetons follow the coordinates.
Sites, in units of the cell vectors:
Cd 0.2500 0.2500 0.2500  0.02
Br 0.5000 0.5000 0.5000  0.06
Mo 0.0000 0.0000 0.0000  3.74

=====

Which of them is the most stable, and which is the least stable? i and ii, in that order.

=====

i | Cd2PBr | PBEsol | relaxed

Spin magnetization: 0.00 Bohr magnetons per cell

abc: 6.0513 6.0513 7.5894
angles: 113.49 113.49 90.00
Sites, in units of the cell vectors:
P 0.5000 0.5000 0.0000
P 0.7500 0.2500 0.5000
Cd 0.4380 0.8750 0.2500
Cd 0.6250 0.5620 0.7500
Cd 0.1250 0.1880 0.7500
Cd 0.8120 0.3750 0.2500
Br 0.0000 0.0000 0.0000
Br 0.2500 0.7500 0.5000

=====

ii | Cd2PBr | PBEsol | relaxed

N(E_F): 2.70 states/eV/f.u.
Spin magnetization: 0.00 Bohr magnetons per cell

abc: 4.9139 4.9139 4.9139
angles: 60.00 60.00 60.00
Sites, in units of the cell vectors:
Br 0.5000 0.5000 0.5000
P 0.7500 0.7500 0.7500
Cd 0.2500 0.2500 0.2500
Cd 0.0000 0.0000 0.0000

=====

Which of them is the most stable, and which is the least stable? i and ii, in that order.